The following is a PBE-GGA calculation of a relaxed structure of MnGa3Ag, from Alexandria via LeMat-Bulk.

```
MnGa3Ag
1.0
4.657 0.000 0.000
0.000 4.657 0.000
0.000 0.000 4.657
Mn Ga Ag
1 3 1
Cartesian
0.000 0.000 0.000 Mn
0.000 0.000 2.329 Ga
0.000 2.329 0.000 Ga
2.329 0.000 0.000 Ga
2.329 2.329 2.329 Ag
```

The formation energy comes out at 282 meV/atom. The space-group type is No. 221. The energy relative to the lowest polymorph listed for this composition is 0.000 eV/atom.

---

The following is a PBE-GGA calculation of a relaxed structure of ErBe17Ir, from Alexandria via LeMat-Bulk.

```
ErBe17Ir
1.0
3.743 2.161 3.605
-3.743 2.161 3.605
0.000 -4.322 3.605
Er Be Ir
1 17 1
Cartesian
0.000 0.000 0.000 Er
-1.147 -1.875 3.722 Be
-2.197 -0.056 3.722 Be
-1.762 -1.017 5.714 Be
0.000 0.000 2.706 Be
0.000 -2.238 5.492 Be
-1.938 1.119 5.492 Be
1.147 -1.875 3.722 Be
-1.050 1.931 3.722 Be
0.000 0.000 4.813 Be
-1.800 -1.039 8.979 Be
2.197 -0.056 3.722 Be
1.050 1.931 3.722 Be
1.762 -1.017 5.714 Be
0.000 2.035 5.714 Be
1.938 1.119 5.492 Be
1.800 -1.039 8.979 Be
0.000 2.078 8.979 Be
0.000 0.000 7.256 Ir
```

The formation energy comes out at -131 meV/atom. The space-group type is No. 160.

---

The following is a PBE-GGA calculation of a relaxed structure of SrInAg, from Alexandria via LeMat-Bulk.

```
SrInAg
1.0
6.078 0.000 0.000
0.000 6.440 0.000
-3.610 0.000 8.880
Sr In Ag
4 4 4
Cartesian
-0.088 0.865 3.281 Sr
-1.893 2.354 7.721 Sr
4.361 4.085 1.159 Sr
2.556 5.574 5.599 Sr
-0.529 4.035 4.638 In
1.276 5.625 0.199 In
1.192 0.815 8.681 In
2.997 2.405 4.241 In
1.359 4.070 2.509 Ag
-0.446 5.590 6.949 Ag
2.915 0.850 1.931 Ag
1.110 2.370 6.371 Ag
```

The formation energy comes out at -344 meV/atom. The space-group type is No. 14.

---

The following is a PBE-GGA calculation of a relaxed structure of CrSi2Ir, from Alexandria via LeMat-Bulk.

```
CrSi2Ir
1.0
4.324 -1.431 0.000
4.324 1.431 0.000
-1.253 0.000 4.165
Cr Si Ir
1 2 1
Cartesian
0.000 0.000 0.000 Cr
1.119 0.000 3.697 Si
3.739 0.000 2.232 Si
6.108 0.000 1.617 Ir
```

The formation energy without anion corrections comes out at -0.38 eV/atom. The space-group type is No. 8.

---

The following is a PBE-GGA calculation of a relaxed structure of LaPm12Tm5, from Alexandria via LeMat-Bulk.

```
LaPm12Tm5
1.0
6.091 -8.527 0.000
6.091 8.527 0.000
-0.001 0.000 5.781
La Pm Tm
1 12 5
Cartesian
0.000 0.000 0.000 La
4.268 5.455 5.781 Pm
4.271 3.060 2.892 Pm
2.490 0.000 2.885 Pm
3.717 0.000 5.776 Pm
7.914 5.455 0.000 Pm
7.910 3.060 2.890 Pm
4.271 -3.060 2.892 Pm
4.268 -5.455 5.781 Pm
8.464 0.000 0.006 Pm
9.692 0.000 2.897 Pm
7.910 -3.060 2.890 Pm
7.914 -5.455 0.000 Pm
6.091 6.158 2.891 Tm
6.091 2.343 0.000 Tm
6.091 0.000 2.891 Tm
6.091 -2.343 0.000 Tm
6.091 -6.158 2.891 Tm
```

The formation energy comes out at 85 meV/atom. The space-group type is No. 12.

---

The following is a PBE-GGA calculation of a relaxed structure of KPmH6Pt2, from Alexandria via LeMat-Bulk.

```
KPmH6Pt2
1.0
4.613 -4.326 0.000
4.613 4.326 0.000
-2.886 0.000 7.072
K Pm H Pt
2 2 12 4
Cartesian
2.449 3.488 5.304 K
3.892 -3.488 1.768 K
3.892 0.583 1.768 Pm
2.449 -0.583 5.304 Pm
3.075 2.774 1.690 H
0.551 0.725 4.641 H
4.708 2.774 1.847 H
1.675 1.365 6.719 H
1.994 -0.725 1.105 H
3.222 1.365 3.890 H
3.118 -1.365 3.182 H
4.347 0.725 5.968 H
4.665 -1.365 0.354 H
1.632 -2.774 5.226 H
5.790 -0.725 2.431 H
3.265 -2.774 5.383 H
0.109 1.467 6.071 Pt
1.552 -1.467 2.535 Pt
4.789 1.467 4.538 Pt
6.232 -1.467 1.002 Pt
```

The space-group type is No. 15. The total DFT energy (no corrections) is -4.2218 eV/atom.

---

The following is a PBE-GGA calculation of a relaxed structure of FeHRh2, from Alexandria via LeMat-Bulk.

```
FeHRh2
1.0
-2.965 2.965 2.582
2.965 -2.965 2.582
2.965 2.965 -2.582
Fe H Rh
2 2 4
Cartesian
0.000 0.000 0.000 Fe
0.000 2.965 1.291 Fe
2.965 0.000 1.291 H
0.000 0.000 2.582 H
1.482 -0.944 1.937 Rh
2.021 1.482 0.646 Rh
1.482 3.909 -0.646 Rh
0.944 1.482 3.228 Rh
```

The space-group type is No. 122. The total DFT energy (no corrections) is -6.5305 eV/atom.

---

The following is a PBE-GGA calculation of a relaxed structure of LiTc2P, from Alexandria via LeMat-Bulk.

```
LiTc2P
1.0
1.417 0.818 8.185
-1.417 0.818 8.185
0.000 -1.637 8.185
Li Tc P
1 2 1
Cartesian
0.000 0.000 0.000 Li
0.000 0.000 5.873 Tc
0.000 0.000 18.682 Tc
0.000 0.000 12.277 P
```

The formation energy comes out at 9 meV/atom. The space-group type is No. 166.

---

The following is a PBE-GGA calculation of a relaxed structure of SrBeCu2, from Alexandria via LeMat-Bulk.

```
SrBeCu2
1.0
-2.389 2.389 7.463
2.389 -2.389 7.463
2.389 2.389 -7.463
Sr Be Cu
2 2 4
Cartesian
2.389 1.195 1.866 Sr
0.000 1.195 5.597 Sr
2.389 -1.195 5.597 Be
0.000 3.584 1.866 Be
0.000 0.000 0.000 Cu
1.195 1.195 -3.732 Cu
1.195 -1.195 3.732 Cu
0.000 2.389 0.000 Cu
```

The formation energy comes out at 140 meV/atom. The space-group type is No. 141.

---

The following is a PBE-GGA calculation of a relaxed structure of FeCoTc2I, from Alexandria via LeMat-Bulk.

```
FeCoTc2I
1.0
4.487 0.000 0.000
0.000 4.487 0.000
0.000 0.000 4.393
Fe Co Tc I
1 1 2 1
Cartesian
0.000 0.000 0.000 Fe
0.000 0.000 2.196 Co
0.000 2.243 0.000 Tc
2.243 0.000 0.000 Tc
2.243 2.243 2.196 I
```

The formation energy without anion corrections comes out at 1.39 eV/atom. The space-group type is No. 123.

---

The following is a PBE-GGA calculation of a relaxed structure of Rb3BeF, from Alexandria via LeMat-Bulk.

```
Rb3BeF
1.0
5.704 0.000 0.000
0.000 5.704 0.000
0.000 0.000 5.704
Rb Be F
3 1 1
Cartesian
0.000 0.000 2.852 Rb
0.000 2.852 0.000 Rb
2.852 0.000 0.000 Rb
2.852 2.852 2.852 Be
0.000 0.000 0.000 F
```

The formation energy without anion corrections comes out at -0.54 eV/atom. The space-group type is No. 221.

---

The following is a PBE-GGA calculation of a relaxed structure of MgFe, from Alexandria via LeMat-Bulk.

```
MgFe
1.0
7.338 0.000 0.000
0.000 7.338 0.000
0.000 0.000 7.338
Mg Fe
6 6
Cartesian
0.000 1.834 3.669 Mg
0.000 5.503 3.669 Mg
1.834 3.669 0.000 Mg
3.669 0.000 1.834 Mg
3.669 0.000 5.503 Mg
5.503 3.669 0.000 Mg
0.000 3.669 1.834 Fe
0.000 3.669 5.503 Fe
1.834 0.000 3.669 Fe
3.669 1.834 0.000 Fe
3.669 5.503 0.000 Fe
5.503 0.000 3.669 Fe
```

The formation energy comes out at 1749 meV/atom. The space-group type is No. 223.